1.
VASP calculation (PBE) on an optimized crystal structure of RbCr3H.

Values from the calculation:
The value obtained for the uncorrected energy is -5.235 eV per atom.

```
data_RbCr3H
_chemical_formula_sum 'Rb1 Cr3 H1'
_cell_length_a 4.660
_cell_length_b 4.660
_cell_length_c 4.660
_cell_angle_alpha 90.00
_cell_angle_beta 90.00
_cell_angle_gamma 90.00
_symmetry_space_group_name_H-M 'P m -3 m'
_symmetry_Int_Tables_number 221
_symmetry_space_group_name_Hall '-P 4 2 3'
loop_
_atom_site_label
_atom_site_type_symbol
_atom_site_fract_x
_atom_site_fract_y
_atom_site_fract_z
_atom_site_occupancy
Rb1 Rb 0.000 0.000 0.000 1
Cr1 Cr 0.000 0.500 0.500 1
H1 H 0.500 0.500 0.500 1
```

=====

2.
VASP calculation (PBE) on an optimized crystal structure of Co2WCl.

Values from the calculation:
The formation energy from raw total energies is 0.8260 eV/atom. The value obtained for the distance to the lowest polymorph of the same formula is 547 meV per atom.

```
data_Co2WCl
_chemical_formula_sum 'Co8 W4 Cl4'
_cell_length_a 5.913
_cell_length_b 5.913
_cell_length_c 5.913
_cell_angle_alpha 90.00
_cell_angle_beta 90.00
_cell_angle_gamma 90.00
_symmetry_space_group_name_H-M 'F -4 3 m'
_symmetry_Int_Tables_number 216
_symmetry_space_group_name_Hall 'F -4 2 3'
loop_
_atom_site_label
_atom_site_type_symbol
_atom_site_fract_x
_atom_site_fract_y
_atom_site_fract_z
_atom_site_occupancy
Co1 Co 0.000 0.000 0.000 1
Co2 Co 0.250 0.250 0.250 1
W1 W 0.000 0.000 0.500 1
Cl1 Cl 0.250 0.250 0.750 1
```

=====

3.
VASP calculation (PBE) on an optimized crystal structure of LiInNiPd.

Values from the calculation:
The calculation puts the energy relative to the elements at -0.351 eV per atom.

```
data_LiInNiPd
_chemical_formula_sum 'Li2 In2 Ni2 Pd2'
_cell_length_a 4.070
_cell_length_b 4.070
_cell_length_c 7.194
_cell_angle_alpha 90.00
_cell_angle_beta 90.00
_cell_angle_gamma 90.00
_symmetry_space_group_name_H-M 'I -4 m 2'
_symmetry_Int_Tables_number 119
_symmetry_space_group_name_Hall 'I -4 -2'
loop_
_atom_site_label
_atom_site_type_symbol
_atom_site_fract_x
_atom_site_fract_y
_atom_site_fract_z
_atom_site_occupancy
Li1 Li 0.000 0.000 0.000 1
In1 In 0.000 0.000 0.500 1
Ni1 Ni 0.000 0.500 0.750 1
Pd1 Pd 0.000 0.500 0.250 1
```

=====

4.
VASP calculation (PBE) on an optimized crystal structure of KBaErF6.

Values from the calculation:
The formation energy from raw total energies is -3.7448 eV/atom.

```
data_KBaErF6
_chemical_formula_sum 'K2 Ba2 Er2 F12'
_cell_length_a 6.3908
_cell_length_b 6.3908
_cell_length_c 10.5223
_cell_angle_alpha 90.00
_cell_angle_beta 90.00
_cell_angle_gamma 120.00
_symmetry_space_group_name_H-M 'P -3 1 c'
_symmetry_Int_Tables_number 163
_symmetry_space_group_name_Hall '-P 3 2c'
loop_
_atom_site_label
_atom_site_type_symbol
_atom_site_fract_x
_atom_site_fract_y
_atom_site_fract_z
_atom_site_occupancy
K1 K 0.3333 0.6667 0.2500 1
Ba1 Ba 0.0000 0.0000 0.0000 1
Er1 Er 0.3333 0.6667 0.7500 1
F1 F 0.0578 0.3735 0.6370 1
```

=====

5.
VASP calculation (PBE) on an optimized crystal structure of NbCl.

Values from the calculation:
The formation energy from raw total energies is -0.2583 eV/atom.

```
data_NbCl
_chemical_formula_sum 'Nb8 Cl8'
_cell_length_a 11.224
_cell_length_b 11.224
_cell_length_c 3.131
_cell_angle_alpha 90.00
_cell_angle_beta 90.00
_cell_angle_gamma 90.00
_symmetry_space_group_name_H-M 'I 4/m'
_symmetry_Int_Tables_number 87
_symmetry_space_group_name_Hall '-I 4'
loop_
_atom_site_label
_atom_site_type_symbol
_atom_site_fract_x
_atom_site_fract_y
_atom_site_fract_z
_atom_site_occupancy
Nb1 Nb 0.177 0.694 0.000 1
Cl1 Cl 0.007 0.776 0.500 1
```

=====

6.
VASP calculation (PBE) on an optimized crystal structure of CaGa4Au2.

Values from the calculation:
The calculation puts the energy relative to the elements at -0.443 eV per atom.

```
data_CaGa4Au2
_chemical_formula_sum 'Ca4 Ga16 Au8'
_cell_length_a 17.413
_cell_length_b 4.487
_cell_length_c 6.984
_cell_angle_alpha 90.00
_cell_angle_beta 90.00
_cell_angle_gamma 90.00
_symmetry_space_group_name_H-M 'P n m a'
_symmetry_Int_Tables_number 62
_symmetry_space_group_name_Hall '-P 2ac 2n'
loop_
_atom_site_label
_atom_site_type_symbol
_atom_site_fract_x
_atom_site_fract_y
_atom_site_fract_z
_atom_site_occupancy
Ca1 Ca 0.142 0.250 0.021 1
Ga1 Ga 0.039 0.750 0.848 1
Ga2 Ga 0.064 0.250 0.470 1
Ga3 Ga 0.184 0.750 0.328 1
Ga4 Ga 0.186 0.750 0.728 1
Au1 Au 0.034 0.750 0.239 1
Au2 Au 0.217 0.250 0.533 1
```

=====

7.
VASP calculation (PBE) on an optimized crystal structure of BaFeRu.

Values from the calculation:
The calculation puts the energy relative to the elements at 0.490 eV per atom. The value obtained for the distance to the lowest polymorph of the same formula is 159 meV per atom.

```
data_BaFeRu
_chemical_formula_sum 'Ba4 Fe4 Ru4'
_cell_length_a 7.617
_cell_length_b 4.170
_cell_length_c 9.478
_cell_angle_alpha 90.00
_cell_angle_beta 90.00
_cell_angle_gamma 90.00
_symmetry_space_group_name_H-M 'P n m a'
_symmetry_Int_Tables_number 62
_symmetry_space_group_name_Hall '-P 2ac 2n'
loop_
_atom_site_label
_atom_site_type_symbol
_atom_site_fract_x
_atom_site_fract_y
_atom_site_fract_z
_atom_site_occupancy
Ba1 Ba 0.001 0.250 0.195 1
Fe1 Fe 0.162 0.750 0.448 1
Ru1 Ru 0.142 0.250 0.545 1
```

=====

8.
VASP calculation (PBE) on an optimized crystal structure of Ta4TlCr.

Values from the calculation:
The calculation puts the energy relative to the elements at 0.647 eV per atom.

```
data_Ta4TlCr
_chemical_formula_sum 'Ta16 Tl4 Cr4'
_cell_length_a 7.780
_cell_length_b 7.780
_cell_length_c 7.780
_cell_angle_alpha 90.00
_cell_angle_beta 90.00
_cell_angle_gamma 90.00
_symmetry_space_group_name_H-M 'F -4 3 m'
_symmetry_Int_Tables_number 216
_symmetry_space_group_name_Hall 'F -4 2 3'
loop_
_atom_site_label
_atom_site_type_symbol
_atom_site_fract_x
_atom_site_fract_y
_atom_site_fract_z
_atom_site_occupancy
Ta1 Ta 0.124 0.124 0.376 1
Tl1 Tl 0.000 0.000 0.000 1
Cr1 Cr 0.250 0.250 0.750 1
```

=====

9.
VASP calculation (PBE) on an optimized crystal structure of NpGaNi2.

Values from the calculation:
The calculation puts the energy relative to the elements at -0.137 eV per atom.

```
data_NpGaNi2
_chemical_formula_sum 'Np1 Ga1 Ni2'
_cell_length_a 2.885
_cell_length_b 2.885
_cell_length_c 6.984
_cell_angle_alpha 90.00
_cell_angle_beta 90.00
_cell_angle_gamma 90.00
_symmetry_space_group_name_H-M 'P 4/m m m'
_symmetry_Int_Tables_number 123
_symmetry_space_group_name_Hall '-P 4 2'
loop_
_atom_site_label
_atom_site_type_symbol
_atom_site_fract_x
_atom_site_fract_y
_atom_site_fract_z
_atom_site_occupancy
Np1 Np 0.000 0.000 0.000 1
Ga1 Ga 0.000 0.000 0.500 1
Ni1 Ni 0.500 0.500 0.294 1
```

=====

10.
VASP calculation (PBE) on an optimized crystal structure of BaGa2Br.

Values from the calculation:
The formation energy from raw total energies is -0.5630 eV/atom. The value obtained for the distance to the lowest polymorph of the same formula is 0 meV per atom.

```
data_BaGa2Br
_chemical_formula_sum 'Ba4 Ga8 Br4'
_cell_length_a 4.631
_cell_length_b 4.631
_cell_length_c 23.855
_cell_angle_alpha 90.00
_cell_angle_beta 90.00
_cell_angle_gamma 90.00
_symmetry_space_group_name_H-M 'I -4 2 d'
_symmetry_Int_Tables_number 122
_symmetry_space_group_name_Hall 'I -4 2bw'
loop_
_atom_site_label
_atom_site_type_symbol
_atom_site_fract_x
_atom_site_fract_y
_atom_site_fract_z
_atom_site_occupancy
Ba1 Ba 0.000 0.000 0.000 1
Ga1 Ga 0.137 0.250 0.625 1
Br1 Br 0.000 0.000 0.500 1
```

=====

11.
VASP calculation (PBE) on an optimized crystal structure of Ba3Zn2In2Ge4.

Values from the calculation:
The calculation puts the energy relative to the elements at -0.411 eV per atom.

```
data_Ba3Zn2In2Ge4
_chemical_formula_sum 'Ba3 Zn2 In2 Ge4'
_cell_length_a 4.5474
_cell_length_b 4.5474
_cell_length_c 17.6281
_cell_angle_alpha 90.00
_cell_angle_beta 90.00
_cell_angle_gamma 120.00
_symmetry_space_group_name_H-M 'P -3 m 1'
_symmetry_Int_Tables_number 164
_symmetry_space_group_name_Hall '-P 3 2"'
loop_
_atom_site_label
_atom_site_type_symbol
_atom_site_fract_x
_atom_site_fract_y
_atom_site_fract_z
_atom_site_occupancy
Ba1 Ba 0.0000 0.0000 0.0000 1
Ba2 Ba 0.0000 0.0000 0.2736 1
Zn1 Zn 0.3333 0.6667 0.1381 1
In1 In 0.3333 0.6667 0.5601 1
Ge1 Ge 0.3333 0.6667 0.3924 1
Ge2 Ge 0.3333 0.6667 0.8638 1
```

=====

12.
VASP calculation (PBE) on an optimized crystal structure of Ti6ZnMo2.

Values from the calculation:
The calculation puts the energy relative to the elements at -0.092 eV per atom.

```
data_Ti6ZnMo2
_chemical_formula_sum 'Ti12 Zn2 Mo4'
_cell_length_a 9.789
_cell_length_b 4.468
_cell_length_c 8.296
_cell_angle_alpha 90.00
_cell_angle_beta 125.65
_cell_angle_gamma 90.00
_symmetry_space_group_name_H-M 'C 1 2/m 1'
_symmetry_Int_Tables_number 12
_symmetry_space_group_name_Hall '-C 2y'
loop_
_atom_site_label
_atom_site_type_symbol
_atom_site_fract_x
_atom_site_fract_y
_atom_site_fract_z
_atom_site_occupancy
Ti1 Ti 0.008 0.000 0.337 1
Ti2 Ti 0.175 0.500 0.240 1
Ti3 Ti 0.178 0.500 0.884 1
Zn1 Zn 0.000 0.000 0.000 1
Mo1 Mo 0.158 0.500 0.550 1
```